First-principles (PBE-GGA) data for Ba2CaNi after structural relaxation, as listed in Alexandria via LeMat-Bulk.

## Properties
The polymorph energy (0 for the lowest one) is 341 meV per atom. The calculated formation energy is 1.6 eV/f.u. The density of states at the Fermi level is 1.03 states/eV/atom. As for the energy: -2.510 eV/atom.

Cell and atoms, written as CIF:
```
data_Ba2CaNi
_cell_length_a 4.995
_cell_length_b 4.995
_cell_length_c 11.981
_cell_angle_alpha 90.00
_cell_angle_beta 90.00
_cell_angle_gamma 90.00
_symmetry_space_group_name_H-M 'I -4 m 2'
_symmetry_Int_Tables_number 119
_symmetry_space_group_name_Hall 'I -4 -2'
loop_
_atom_site_label
_atom_site_fract_x
_atom_site_fract_y
_atom_site_fract_z
_atom_site_occupancy
Ba1 0.000 0.000 0.000 1
Ba2 0.000 0.500 0.250 1
Ca1 0.000 0.500 0.750 1
Ni1 0.000 0.000 0.500 1
```